A geometry-optimized SmAgTe structure, computed with GGA-PBE.

CIF file:
```
data_SmAgTe
_space_group_name_H-M_alt 'P 1'
_space_group_IT_number 1
_space_group_name_Hall 'P 1'
_cell_length_a 4.937
_cell_length_b 4.937
_cell_length_c 4.937
_cell_angle_alpha 60.00
_cell_angle_beta 60.00
_cell_angle_gamma 60.00
loop_
_atom_site_label
_atom_site_type_symbol
_atom_site_fract_x
_atom_site_fract_y
_atom_site_fract_z
_atom_site_occupancy
Sm1 Sm 0.000 0.000 0.000 1
Ag1 Ag 0.250 0.250 0.250 1
Te1 Te 0.500 0.500 0.500 1
```

Output
Its calculated total energy is -11.95 eV per cell. For the magnetic moment, the calculation gives 0.0 μB/f.u.



A geometry-optimized SmYTlAg2 structure, computed with GGA-PBE.

CIF file:
```
data_SmYTlAg2
_space_group_name_H-M_alt 'P 1'
_space_group_IT_number 1
_space_group_name_Hall 'P 1'
_cell_length_a 3.541
_cell_length_b 7.814
_cell_length_c 7.814
_cell_angle_alpha 34.44
_cell_angle_beta 90.00
_cell_angle_gamma 90.00
loop_
_atom_site_label
_atom_site_type_symbol
_atom_site_fract_x
_atom_site_fract_y
_atom_site_fract_z
_atom_site_occupancy
Sm1 Sm 0.000 0.000 0.000 1
Y1 Y 0.000 0.243 0.243 1
Tl1 Tl 0.500 0.622 0.622 1
Ag1 Ag 0.500 0.421 0.421 1
Ag2 Ag 0.500 0.819 0.819 1
```

Output
Its calculated total energy is -20.78 eV per cell. For the magnetic moment, the calculation gives 0.0 μB/f.u.



A geometry-optimized SmTmAg4 structure, computed with GGA-PBE.

CIF file:
```
data_SmTmAg4
_space_group_name_H-M_alt 'P 1'
_space_group_IT_number 1
_space_group_name_Hall 'P 1'
_cell_length_a 3.727
_cell_length_b 3.727
_cell_length_c 9.275
_cell_angle_alpha 90.00
_cell_angle_beta 90.00
_cell_angle_gamma 90.00
loop_
_atom_site_label
_atom_site_type_symbol
_atom_site_fract_x
_atom_site_fract_y
_atom_site_fract_z
_atom_site_occupancy
Sm1 Sm 0.000 0.000 0.000 1
Tm1 Tm 0.500 0.500 0.500 1
Ag1 Ag 0.000 0.000 0.336 1
Ag2 Ag 0.000 0.000 0.664 1
Ag3 Ag 0.500 0.500 0.178 1
Ag4 Ag 0.500 0.500 0.822 1
```

Output
The energy of formation is -0.312 eV/atom. Its calculated total energy is -22.36 eV per cell. For the magnetic moment, the calculation gives 0.0 μB/f.u.



A geometry-optimized SmTmAg structure, computed with GGA-PBE.

CIF file:
```
data_SmTmAg
_space_group_name_H-M_alt 'P 1'
_space_group_IT_number 1
_space_group_name_Hall 'P 1'
_cell_length_a 4.903
_cell_length_b 4.903
_cell_length_c 4.903
_cell_angle_alpha 60.00
_cell_angle_beta 60.00
_cell_angle_gamma 60.00
loop_
_atom_site_label
_atom_site_type_symbol
_atom_site_fract_x
_atom_site_fract_y
_atom_site_fract_z
_atom_site_occupancy
Sm1 Sm 0.000 0.000 0.000 1
Tm1 Tm 0.750 0.750 0.750 1
Ag1 Ag 0.500 0.500 0.500 1
```

Output
The energy of formation is 0.475 eV/atom. Its calculated total energy is -10.59 eV per cell. For the magnetic moment, the calculation gives 0.0 μB/f.u.



A geometry-optimized SmUAg structure, computed with GGA-PBE.

CIF file:
```
data_SmUAg
_space_group_name_H-M_alt 'P 1'
_space_group_IT_number 1
_space_group_name_Hall 'P 1'
_cell_length_a 4.949
_cell_length_b 4.949
_cell_length_c 4.949
_cell_angle_alpha 60.00
_cell_angle_beta 60.00
_cell_angle_gamma 60.00
loop_
_atom_site_label
_atom_site_type_symbol
_atom_site_fract_x
_atom_site_fract_y
_atom_site_fract_z
_atom_site_occupancy
Sm1 Sm 0.000 0.000 0.000 1
U1 U 0.500 0.500 0.500 1
Ag1 Ag 0.250 0.250 0.250 1
```

Output
The energy of formation is 0.749 eV/atom. Its calculated total energy is -16.58 eV per cell. For the magnetic moment, the calculation gives 4.0 μB/f.u.



A geometry-optimized SmYAg4 structure, computed with GGA-PBE.

CIF file:
```
data_SmYAg4
_space_group_name_H-M_alt 'P 1'
_space_group_IT_number 1
_space_group_name_Hall 'P 1'
_cell_length_a 3.741
_cell_length_b 3.741
_cell_length_c 9.312
_cell_angle_alpha 90.00
_cell_angle_beta 90.00
_cell_angle_gamma 90.00
loop_
_atom_site_label
_atom_site_type_symbol
_atom_site_fract_x
_atom_site_fract_y
_atom_site_fract_z
_atom_site_occupancy
Sm1 Sm 0.000 0.000 0.000 1
Y1 Y 0.500 0.500 0.500 1
Ag1 Ag 0.000 0.000 0.332 1
Ag2 Ag 0.000 0.000 0.668 1
Ag3 Ag 0.500 0.500 0.175 1
Ag4 Ag 0.500 0.500 0.825 1
```

Output
The energy of formation is -0.308 eV/atom. Its calculated total energy is -24.32 eV per cell. For the magnetic moment, the calculation gives 0.0 μB/f.u.



A geometry-optimized SmZn5Ag7 structure, computed with GGA-PBE.

CIF file:
```
data_SmZn5Ag7
_space_group_name_H-M_alt 'P 1'
_space_group_IT_number 1
_space_group_name_Hall 'P 1'
_cell_length_a 7.123
_cell_length_b 7.123
_cell_length_c 5.214
_cell_angle_alpha 111.18
_cell_angle_beta 111.18
_cell_angle_gamma 82.27
loop_
_atom_site_label
_atom_site_type_symbol
_atom_site_fract_x
_atom_site_fract_y
_atom_site_fract_z
_atom_site_occupancy
Sm1 Sm 0.000 0.000 0.000 1
Zn1 Zn 0.496 0.993 0.494 1
Zn2 Zn 0.497 0.993 0.995 1
Zn3 Zn 0.776 0.776 0.278 1
Zn4 Zn 0.993 0.496 0.494 1
Zn5 Zn 0.993 0.497 0.995 1
Ag1 Ag 0.201 0.785 0.493 1
Ag2 Ag 0.217 0.217 0.715 1
Ag3 Ag 0.345 0.650 0.998 1
Ag4 Ag 0.350 0.350 0.345 1
Ag5 Ag 0.650 0.345 0.998 1
Ag6 Ag 0.655 0.655 0.658 1
Ag7 Ag 0.785 0.201 0.493 1
```

Output
The energy of formation is -0.165 eV/atom. Its calculated total energy is -32.95 eV per cell. For the magnetic moment, the calculation gives 0.0 μB/f.u.



A geometry-optimized SmZn4Ag8 structure, computed with GGA-PBE.

CIF file:
```
data_SmZn4Ag8
_space_group_name_H-M_alt 'P 1'
_space_group_IT_number 1
_space_group_name_Hall 'P 1'
_cell_length_a 7.175
_cell_length_b 7.175
_cell_length_c 7.175
_cell_angle_alpha 97.72
_cell_angle_beta 97.72
_cell_angle_gamma 136.99
loop_
_atom_site_label
_atom_site_type_symbol
_atom_site_fract_x
_atom_site_fract_y
_atom_site_fract_z
_atom_site_occupancy
Sm1 Sm 0.000 0.000 0.000 1
Zn1 Zn 0.000 0.000 0.500 1
Zn2 Zn 0.000 0.500 0.000 1
Zn3 Zn 0.500 0.000 0.000 1
Zn4 Zn 0.500 0.500 0.500 1
Ag1 Ag 0.000 0.347 0.347 1
Ag2 Ag 0.000 0.653 0.653 1
Ag3 Ag 0.284 0.500 0.784 1
Ag4 Ag 0.347 0.000 0.347 1
Ag5 Ag 0.500 0.284 0.784 1
Ag6 Ag 0.500 0.716 0.216 1
Ag7 Ag 0.653 0.000 0.653 1
Ag8 Ag 0.716 0.500 0.216 1
```

Output
The energy of formation is -0.157 eV/atom. Its calculated total energy is -34.41 eV per cell. For the magnetic moment, the calculation gives 0.0 μB/f.u.



A geometry-optimized SmZnAg structure, computed with GGA-PBE.

CIF file:
```
data_SmZnAg
_space_group_name_H-M_alt 'P 1'
_space_group_IT_number 1
_space_group_name_Hall 'P 1'
_cell_length_a 4.857
_cell_length_b 4.857
_cell_length_c 4.857
_cell_angle_alpha 60.00
_cell_angle_beta 60.00
_cell_angle_gamma 60.00
loop_
_atom_site_label
_atom_site_type_symbol
_atom_site_fract_x
_atom_site_fract_y
_atom_site_fract_z
_atom_site_occupancy
Sm1 Sm 0.000 0.000 0.000 1
Zn1 Zn 0.250 0.250 0.250 1
Ag1 Ag 0.750 0.750 0.750 1
```

Output
The energy of formation is 0.166 eV/atom. Its calculated total energy is -8.30 eV per cell. For the magnetic moment, the calculation gives 0.0 μB/f.u.



A geometry-optimized SmZnAg structure, computed with GGA-PBE.

CIF file:
```
data_SmZnAg
_space_group_name_H-M_alt 'P 1'
_space_group_IT_number 1
_space_group_name_Hall 'P 1'
_cell_length_a 4.691
_cell_length_b 4.691
_cell_length_c 4.691
_cell_angle_alpha 60.00
_cell_angle_beta 60.00
_cell_angle_gamma 60.00
loop_
_atom_site_label
_atom_site_type_symbol
_atom_site_fract_x
_atom_site_fract_y
_atom_site_fract_z
_atom_site_occupancy
Sm1 Sm 0.000 0.000 0.000 1
Zn1 Zn 0.750 0.750 0.750 1
Ag1 Ag 0.500 0.500 0.500 1
```

Output
The energy of formation is -0.098 eV/atom. Its calculated total energy is -9.09 eV per cell. For the magnetic moment, the calculation gives 0.0 μB/f.u.



A geometry-optimized SmZn2Ag structure, computed with GGA-PBE.

CIF file:
```
data_SmZn2Ag
_space_group_name_H-M_alt 'P 1'
_space_group_IT_number 1
_space_group_name_Hall 'P 1'
_cell_length_a 7.048
_cell_length_b 4.411
_cell_length_c 10.240
_cell_angle_alpha 90.00
_cell_angle_beta 90.00
_cell_angle_gamma 90.00
loop_
_atom_site_label
_atom_site_type_symbol
_atom_site_fract_x
_atom_site_fract_y
_atom_site_fract_z
_atom_site_occupancy
Sm1 Sm 0.219 0.250 0.170 1
Sm2 Sm 0.281 0.750 0.670 1
Sm3 Sm 0.719 0.250 0.330 1
Sm4 Sm 0.781 0.750 0.830 1
Zn1 Zn 0.084 0.250 0.854 1
Zn2 Zn 0.197 0.750 0.962 1
Zn3 Zn 0.303 0.250 0.462 1
Zn4 Zn 0.416 0.750 0.354 1
Zn5 Zn 0.584 0.250 0.646 1
Zn6 Zn 0.697 0.750 0.538 1
Zn7 Zn 0.803 0.250 0.038 1
Zn8 Zn 0.916 0.750 0.146 1
Ag1 Ag 0.035 0.750 0.402 1
Ag2 Ag 0.465 0.250 0.902 1
Ag3 Ag 0.535 0.750 0.098 1
Ag4 Ag 0.965 0.250 0.598 1
```

Output
The energy of formation is -0.337 eV/atom. Its calculated total energy is -45.65 eV per cell. For the magnetic moment, the calculation gives 0.0 μB/f.u.